[1]
Material: Li3Hg2Pt
Method: DFT, PBE
State: relaxed

The calculated density comes out at 10.46 g/cm³. The value obtained for the density of states at the Fermi level is 3.5 states/eV per cell. The electronic total energy is -29.77 eV for the cell shown. As for the magnetization: 0.00 Bohr magnetons per cell.

The structure belongs to space group P2/m (No. 10); the cell edges are 4.6265, 6.0758 and 7.2422 Å and the angles 90.00°, 105.84° and 90.00°. The inequivalent atoms are Li at (0.0000, 0.2300, 0.0000), Li at (0.3357, 0.2208, 0.6487), Hg at (0.1561, 0.5000, 0.3286), Hg at (0.5000, 0.0000, 0.0000), Hg at (0.5000, 0.5000, 0.0000) and Pt at (0.1502, 0.0000, 0.3263).

***

[2]
Material: Tb2UTc3
Method: DFT, PBE
State: relaxed

The calculated density comes out at 10.20 g/cm³. The value obtained for the density of states at the Fermi level is 14.0 states/eV per cell. The electronic total energy is -205.87 eV for the cell shown. As for the magnetization: 0.00 Bohr magnetons per cell.

The structure belongs to space group Cmcm (No. 63); the cell edges are 12.7360, 8.9276 and 4.8664 Å and the angles 90.00°, 90.00° and 90.00°. The inequivalent atoms are Tb at (0.1552, 0.1705, 0.2500), U at (0.0000, 0.3481, 0.7500), Tc at (0.0000, 0.1004, 0.7500) and Tc at (0.1614, 0.5000, 0.0000).

***

[3]
Material: TiSbS2N
Method: DFT, PBE
State: relaxed

As for the formation energy (no corrections): -171 meV per atom. The calculated density comes out at 4.55 g/cm³. The calculation puts the relative energy among the computed polymorphs at 0.00 eV per formula unit. The value obtained for the density of states at the Fermi level is 3.7 states/eV per cell. As for the magnetization: 0.00 Bohr magnetons per cell.

The structure belongs to space group P4/mmm (No. 123); the cell edges are 4.9222, 4.9222 and 3.7315 Å and the angles 90.00°, 90.00° and 90.00°. The inequivalent atoms are Ti at (0.0000, 0.0000, 0.0000), Sb at (0.5000, 0.5000, 0.5000), S at (0.0000, 0.5000, 0.0000) and N at (0.0000, 0.0000, 0.5000).

***

[4]
Material: ScReC2
Method: DFT, PBE
State: relaxed

The calculated density comes out at 7.45 g/cm³. The calculation puts the relative energy among the computed polymorphs at 1.30 eV per formula unit. The value obtained for the density of states at the Fermi level is 12.4 states/eV per cell. As for the magnetization: 0.00 Bohr magnetons per cell.

The structure belongs to space group I-42d (No. 122); the cell edges are 4.8433, 4.8433 and 9.6940 Å and the angles 90.00°, 90.00° and 90.00°. The inequivalent atoms are Sc at (0.0000, 0.0000, 0.0000), Re at (0.0000, 0.0000, 0.5000) and C at (0.1982, 0.2500, 0.6250).

***

[5]
Material: La2AlCdCo
Method: DFT, PBE
State: relaxed

The calculated density comes out at 5.99 g/cm³. The value obtained for the density of states at the Fermi level is 6.0 states/eV per cell. The electronic total energy is -23.08 eV for the cell shown. As for the magnetization: 0.00 Bohr magnetons per cell.

The structure belongs to space group P4/mmm (No. 123); the cell edges are 5.3068, 5.3068 and 4.6835 Å and the angles 90.00°, 90.00° and 90.00°. The inequivalent atoms are La at (0.0000, 0.5000, 0.0000), Al at (0.0000, 0.0000, 0.5000), Cd at (0.5000, 0.5000, 0.5000) and Co at (0.0000, 0.0000, 0.0000).

***

[6]
Material: LiGeB
Method: DFT, PBE
State: relaxed

The calculated density comes out at 3.76 g/cm³. The value obtained for the density of states at the Fermi level is 4.6 states/eV per cell. The electronic total energy is -73.70 eV for the cell shown. As for the magnetization: 0.00 Bohr magnetons per cell.

The structure belongs to space group Imm2 (No. 44); the cell edges are 3.5371, 12.5449 and 5.3971 Å and the angles 90.00°, 90.00° and 90.00°. The inequivalent atoms are Li at (0.0000, 0.0000, 0.0000), Li at (0.0000, 0.3484, 0.5064), Ge at (0.0000, 0.1699, 0.3597), Ge at (0.0000, 0.5000, 0.1480), B at (0.0000, 0.0000, 0.4301) and B at (0.0000, 0.2894, 0.0626).